Computed, not measured: KZrMn2Re after structural relaxation at the PBEsol level of DFT.

Computed properties:
ΔE_f = 173 kJ per mole of atoms
space-group type = P4/mmm (123)

a = 5.0683 Å, b = 5.0683 Å, c = 4.8250 Å
α = 90.00°, β = 90.00°, γ = 90.00°
With the nearest neighbours (Å) after each atom.
Positions (direct):
1 K 0.0000 0.0000 0.0000  8 Mn 3.50, 4 Re 3.58
2 Zr 0.5000 0.5000 0.5000  2 Re 2.41, 4 Mn 2.53
3 Mn 0.0000 0.5000 0.5000  2 Zr 2.53
4 Mn 0.5000 0.0000 0.5000  2 Zr 2.53
5 Re 0.5000 0.5000 0.0000  2 Zr 2.41



Computed, not measured: Li2AgTe after structural relaxation at the PBEsol level of DFT.

Computed properties:
space-group type = P4/mmm (123)
E_form (uncorrected) = -530 meV/atom

a = 4.2318 Å, b = 4.2318 Å, c = 3.9951 Å
α = 90.00°, β = 90.00°, γ = 90.00°
With the nearest neighbours (Å) after each atom.
Positions (direct):
1 Li 0.0000 0.5000 0.0000  4 Te 2.91, 4 Ag 2.91, 4 Li 2.99
2 Li 0.5000 0.0000 0.0000  4 Te 2.91, 4 Ag 2.91, 4 Li 2.99
3 Ag 0.0000 0.0000 0.5000  8 Li 2.91, 4 Te 2.99
4 Te 0.5000 0.5000 0.5000  8 Li 2.91, 4 Ag 2.99